No. 1
Below is a relaxed AlPd crystal, with properties calculated at the PBE level.

Cell lengths 5.0544, 5.0544, 5.1467 Å; angles 90.00, 90.00, 90.00 degrees
Last column: nearest neighbours and their distance in Å.
Sites, in units of the cell vectors:
Pd 0.8001 0.1999 0.5000  6 Al 2.57-2.59, 1 Pd 2.86
Pd 0.1999 0.8001 0.5000  6 Al 2.57-2.59, 1 Pd 2.86
Al 0.3022 0.3022 0.5000  6 Pd 2.57-2.59, 1 Al 2.83
Al 0.8022 0.1978 0.0000  6 Pd 2.57-2.59, 1 Al 2.83
Pd 0.6999 0.6999 0.0000  6 Al 2.57-2.59, 1 Pd 2.86
Al 0.1978 0.8022 0.0000  6 Pd 2.57-2.59, 1 Al 2.83
Al 0.6978 0.6978 0.5000  6 Pd 2.57-2.59, 1 Al 2.83
Pd 0.3001 0.3001 0.0000  6 Al 2.57-2.59, 1 Pd 2.86

Energy in eV per cell: -39.81
Volume in A^3/atom: 16.435
DOS at the Fermi energy in states/eV per atom: 0.284
Spin magnetization in Bohr magnetons per cell: 0.00

=====

No. 2
Below is a relaxed Al2Pd3 crystal, with properties calculated at the PBE level.

Cell lengths 5.0870, 6.4280, 6.4709 Å; angles 119.78, 113.15, 90.00 degrees
Last column: nearest neighbours and their distance in Å.
Sites, in units of the cell vectors:
Pd 0.8934 0.2557 0.7869  5 Al 2.47-2.74
Al 0.3426 0.0935 0.6851  7 Pd 2.47-2.74
Pd 0.1066 0.7443 0.2131  5 Al 2.47-2.74
Pd 0.2500 0.0000 0.0000  2 Pd 2.54, 4 Al 2.59
Al 0.6574 0.9065 0.3149  7 Pd 2.47-2.74
Pd 0.7500 0.0000 0.0000  2 Pd 2.54, 4 Al 2.59
Pd 0.3934 0.5312 0.7869  5 Al 2.47-2.74
Pd 0.6066 0.4688 0.2131  5 Al 2.47-2.74
Al 0.8426 0.5916 0.6851  7 Pd 2.47-2.74
Al 0.1574 0.4084 0.3149  7 Pd 2.47-2.74

Energy in eV per cell: -51.84
Offset from the most stable computed form in meV/atom: 263
Volume in A^3/atom: 16.374
DOS at the Fermi energy in states/eV per atom: 0.372
Spin magnetization in Bohr magnetons per cell: 0.00

=====

No. 3
Below is a relaxed Al3Pd4 crystal, with properties calculated at the PBE level.

Cell lengths 5.3761, 6.8872, 6.8872 Å; angles 113.48, 105.08, 105.08 degrees
Last column: nearest neighbours and their distance in Å.
Sites, in units of the cell vectors:
Pd 0.3812 0.4527 0.1519  7 Al 2.61-2.75, 4 Pd 2.82-2.92
Al 0.1292 0.5896 0.8640  8 Pd 2.61-2.75
Al 0.2652 0.1360 0.7256  8 Pd 2.61-2.75
Al 0.7348 0.8640 0.2744  8 Pd 2.61-2.75
Pd 0.2293 0.8481 0.3008  7 Al 2.61-2.75, 4 Pd 2.82-2.92
Pd 0.5000 0.0000 0.0000  6 Al 2.61, 2 Pd 2.69
Pd 0.7707 0.1519 0.6992  7 Al 2.61-2.75, 4 Pd 2.82-2.92
Pd 0.0000 0.0000 0.0000  8 Pd 2.69-2.82, 6 Al 2.93
Pd 0.9285 0.6992 0.5473  7 Al 2.61-2.75, 4 Pd 2.82-2.92
Pd 0.0715 0.3008 0.4527  7 Al 2.61-2.75, 4 Pd 2.82-2.92
Al 0.4604 0.7256 0.5896  8 Pd 2.61-2.75
Al 0.8708 0.4104 0.1360  8 Pd 2.61-2.75
Al 0.5396 0.2744 0.4104  8 Pd 2.61-2.75
Pd 0.6188 0.5473 0.8481  7 Al 2.61-2.75, 4 Pd 2.82-2.92

Energy in eV per cell: -75.51
Offset from the most stable computed form in meV/atom: 0
Volume in A^3/atom: 14.706
DOS at the Fermi energy in states/eV per atom: 0.393
Spin magnetization in Bohr magnetons per cell: 0.00